Entry 1:
DFT (PBE) results for an optimized crystal structure of BaNaSc3.

Calculated values
Relative energy among the computed polymorphs, eV/atom: 0.0000
Electronic total energy, eV/atom: -3.637

Cell lengths 5.506, 5.506, 5.506 Å; angles 90.00, 90.00, 90.00 degrees
Sites, in units of the cell vectors:
Ba1 0.500 0.500 0.500
Na1 0.000 0.000 0.000
Sc1 0.500 0.000 0.000
Sc2 0.000 0.000 0.500
Sc3 0.000 0.500 0.000

Entry 2:
DFT (PBE) results for an optimized crystal structure of BaNaSc2.

Calculated values
Relative energy among the computed polymorphs, eV/atom: 0.0529
Electronic total energy, eV/atom: -3.400

Cell lengths 5.708, 5.708, 5.708 Å; angles 60.00, 60.00, 60.00 degrees
Sites, in units of the cell vectors:
Ba1 0.500 0.500 0.500
Sc1 0.250 0.250 0.250
Na1 0.000 0.000 0.000
Sc2 0.750 0.750 0.750

Entry 3:
DFT (PBE) results for an optimized crystal structure of BaNaSc2.

Calculated values
Relative energy among the computed polymorphs, eV/atom: 0.0000
Electronic total energy, eV/atom: -3.453

Cell lengths 12.975, 12.975, 12.975 Å; angles 15.30, 15.30, 15.30 degrees
Sites, in units of the cell vectors:
Sc1 0.914 0.914 0.914
Na1 0.000 0.000 0.000
Sc2 0.086 0.086 0.086
Ba1 0.500 0.500 0.500